(1)
DFT (PBE with a Hubbard U) results for a geometry-optimized K2LiFeO3 structure.

Unit cell a=6.098 b=10.687 c=6.658 alpha=90.00 beta=90.00 gamma=90.00
Space group Cmme (No. 67)
Asymmetric unit:
K (0.000, 0.250, 0.160) x4
K (0.250, 0.000, 0.500) x4
Li (0.250, 0.000, 0.000) x4
Fe (0.000, 0.250, 0.679) x4
O (0.000, 0.100, 0.830) x8
O (0.250, 0.250, 0.500) x4

Results
DOS(E_F)	0.000	states/eV/atom
size of the total moment	20.0	μB/cell
uncorrected energy	-35.25	eV per formula unit


(2)
DFT (PBE with a Hubbard U) results for a geometry-optimized K2Li2FeO4 structure.

Unit cell a=11.669 b=3.259 c=6.206 alpha=90.00 beta=110.16 gamma=90.00
Space group C2/m (No. 12)
Asymmetric unit:
K (0.137, 0.000, 0.051) x4
Li (0.175, 0.500, 0.486) x4
Fe (0.000, 0.000, 0.500) x2
O (0.013, 0.500, 0.289) x4
O (0.178, 0.000, 0.634) x4

Results
DOS(E_F)	0.191	states/eV/atom
size of the total moment	8.0	μB/cell
uncorrected energy	-44.40	eV per formula unit


(3)
DFT (PBE with a Hubbard U) results for a geometry-optimized K2LiFeO4 structure.

Unit cell a=5.832 b=5.832 c=7.273 alpha=90.00 beta=90.00 gamma=90.00
Space group I-4 (No. 82)
Asymmetric unit:
K (0.000, 0.000, 0.000) x2
K (0.000, 0.500, 0.250) x2
Li (0.000, 0.500, 0.750) x2
Fe (0.000, 0.000, 0.500) x2
O (0.127, 0.773, 0.623) x8

Results
DOS(E_F)	0.648	states/eV/atom
size of the total moment	6.0	μB/cell
uncorrected energy	-40.11	eV per formula unit


(4)
DFT (PBE with a Hubbard U) results for a geometry-optimized K8Li13Fe4O16 structure.

Unit cell a=5.692 b=8.786 c=10.954 alpha=89.16 beta=83.21 gamma=87.76
Space group P1 (No. 1)
Asymmetric unit:
K (0.000, 0.000, 0.000) x1
K (0.014, 0.695, 0.515) x1
K (0.224, 0.953, 0.332) x1
K (0.261, 0.219, 0.779) x1
K (0.512, 0.706, 0.028) x1
K (0.544, 0.449, 0.530) x1
K (0.740, 0.378, 0.876) x1
K (0.764, 0.205, 0.312) x1
Li (0.040, 0.517, 0.708) x1
Li (0.075, 0.696, 0.871) x1
Li (0.085, 0.449, 0.332) x1
Li (0.218, 0.476, 0.991) x1
Li (0.227, 0.204, 0.491) x1
Li (0.342, 0.955, 0.614) x1
Li (0.473, 0.483, 0.248) x1
Li (0.523, 0.996, 0.892) x1
Li (0.574, 0.700, 0.363) x1
Li (0.627, 0.942, 0.181) x1
Li (0.705, 0.935, 0.479) x1
Li (0.838, 0.447, 0.118) x1
Li (0.954, 0.902, 0.735) x1
Fe (0.328, 0.241, 0.127) x1
Fe (0.498, 0.714, 0.728) x1
Fe (0.814, 0.154, 0.630) x1
Fe (0.989, 0.686, 0.216) x1
O (0.027, 0.998, 0.558) x1
O (0.061, 0.288, 0.043) x1
O (0.267, 0.646, 0.306) x1
O (0.268, 0.261, 0.306) x1
O (0.297, 0.881, 0.803) x1
O (0.318, 0.538, 0.791) x1
O (0.458, 0.039, 0.073) x1
O (0.506, 0.415, 0.081) x1
O (0.511, 0.760, 0.556) x1
O (0.533, 0.134, 0.551) x1
O (0.774, 0.092, 0.797) x1
O (0.775, 0.511, 0.303) x1
O (0.775, 0.876, 0.305) x1
O (0.820, 0.693, 0.765) x1
O (0.983, 0.343, 0.608) x1
O (0.994, 0.651, 0.040) x1

Results
DOS(E_F)	0.000	states/eV/atom
size of the total moment	19.0	μB/cell
uncorrected energy	-200.42	eV per formula unit


(5)
DFT (PBE with a Hubbard U) results for a geometry-optimized K8Li9Fe4O16 structure.

Unit cell a=5.607 b=9.422 c=10.289 alpha=88.47 beta=82.07 gamma=88.25
Space group P1 (No. 1)
Asymmetric unit:
K (0.000, 0.000, 0.000) x1
K (0.027, 0.202, 0.524) x1
K (0.331, 0.413, 0.306) x1
K (0.400, 0.200, 0.813) x1
K (0.492, 0.699, 0.036) x1
K (0.553, 0.018, 0.511) x1
K (0.797, 0.463, 0.791) x1
K (0.849, 0.703, 0.303) x1
Li (0.083, 0.683, 0.865) x1
Li (0.094, 0.960, 0.339) x1
Li (0.260, 0.452, 0.970) x1
Li (0.300, 0.750, 0.451) x1
Li (0.384, 0.218, 0.093) x1
Li (0.506, 0.714, 0.705) x1
Li (0.570, 0.927, 0.847) x1
Li (0.742, 0.454, 0.470) x1
Li (0.960, 0.187, 0.228) x1
Fe (0.321, 0.489, 0.612) x1
Fe (0.501, 0.987, 0.205) x1
Fe (0.849, 0.417, 0.104) x1
Fe (0.994, 0.890, 0.699) x1
O (0.047, 0.483, 0.537) x1
O (0.077, 0.280, 0.036) x1
O (0.096, 0.908, 0.524) x1
O (0.268, 0.860, 0.782) x1
O (0.279, 0.130, 0.276) x1
O (0.318, 0.526, 0.789) x1
O (0.356, 0.816, 0.272) x1
O (0.483, 0.319, 0.576) x1
O (0.505, 0.016, 0.022) x1
O (0.519, 0.630, 0.527) x1
O (0.547, 0.406, 0.051) x1
O (0.793, 0.761, 0.794) x1
O (0.800, 0.046, 0.728) x1
O (0.804, 0.999, 0.261) x1
O (0.827, 0.385, 0.284) x1
O (0.990, 0.587, 0.037) x1

Results
DOS(E_F)	0.307	states/eV/atom
size of the total moment	17.0	μB/cell
uncorrected energy	-184.62	eV per formula unit